Model P:
Compound: TaFeHRu2
Source: Alexandria via LeMat-Bulk
Functional: PBE
Structure: relaxed

magnetization	0.8	μB per cell
calculated volume	17.353	A^3/atom

Cell: 4.3700 4.3700 4.5434 Å, 90.00 90.00 90.00°
With the nearest neighbours (Å) after each atom.
Fractional coordinates of all 5 atoms:
1 Ta 0.0000 0.0000 0.0000  2 Fe 2.27
2 Fe 0.0000 0.0000 0.5000  4 Ru 2.19, 2 Ta 2.27
3 H 0.5000 0.5000 0.0000  4 Ta 3.09, 8 Ru 3.15
4 Ru 0.0000 0.5000 0.5000  2 Fe 2.19
5 Ru 0.5000 0.0000 0.5000  2 Fe 2.19

***

Model Q:
Compound: TaFeHRu2
Source: Alexandria via LeMat-Bulk
Functional: PBE
Structure: relaxed

magnetization	1.5	μB per cell
calculated volume	11.904	A^3/atom

Cell: 3.8767 3.8767 3.9603 Å, 90.00 90.00 90.00°
With the nearest neighbours (Å) after each atom.
Fractional coordinates of all 5 atoms:
1 Ta 0.0000 0.0000 0.0000  2 H 1.98
2 Fe 0.5000 0.5000 0.0000  4 Ta 2.74, 8 Ru 2.77
3 H 0.0000 0.0000 0.5000  4 Ru 1.94, 2 Ta 1.98
4 Ru 0.0000 0.5000 0.5000  2 H 1.94
5 Ru 0.5000 0.0000 0.5000  2 H 1.94

***

model Q is preferred energetically. Next in line: 1779 meV per atom higher.